Here is an optimized crystal structure of Y2TlFe from Alexandria via LeMat-Bulk. Energies are from PBE.

```
8
Lattice="7.9345 0.0000 0.0000 0.0000 7.9345 0.0000 3.9672 3.9672 3.1855" Properties=species:S:1:pos:R:3 pbc="T T T"
Fe 3.9672 3.9672 0.0000
Y 2.4026 5.9508 0.7964
Y 9.9181 9.4991 2.3891
Y 5.9508 6.3698 2.3891
Tl 7.9345 3.9672 1.5927
Fe 3.9672 7.9345 1.5927
Tl 0.0000 0.0000 0.0000
Y 5.5319 1.9836 0.7964
```

## Properties
Its formation energy from the elements is 0.279 eV/atom.

Here is an optimized crystal structure of CaLaSeN2 from Alexandria via LeMat-Bulk. Energies are from PBE.

```
5
Lattice="4.3379 0.0000 0.0000 0.0000 4.3379 0.0000 0.0000 0.0000 6.2341" Properties=species:S:1:pos:R:3 pbc="T T T"
Ca 2.1689 2.1689 3.1170
N 0.0000 2.1689 0.0000
La 0.0000 0.0000 0.0000
N 2.1689 0.0000 0.0000
Se 0.0000 0.0000 3.1170
```

## Properties
The value obtained for the formation energy without anion corrections is -0.8 eV per formula unit. The energy above the lowest structure with this stoichiometry is 0.0 meV/atom.

Here is an optimized crystal structure of UAgPt2 from Alexandria via LeMat-Bulk. Energies are from PBE.

```
4
Lattice="-1.0773 -2.2824 2.1871 0.1907 -2.3533 -2.3620 6.3433 -1.2806 1.7880" Properties=species:S:1:pos:R:3 pbc="T T T"
Pt 4.7292 -0.9548 1.3331
U -0.4433 -2.3179 -0.0874
Pt 1.6141 -0.3259 0.4550
Ag 2.7283 -2.9582 0.8066
```

## Properties
Its formation energy from the elements is -0.427 eV/atom.

Which size of the total moment belongs to each record? In order, 0.2952; 0.1112; 0.2287 μB/atom.